Below is crystalline Be2CuNi at its relaxed geometry, with properties calculated at the PBE level.

Cell lengths 2.477, 2.477, 7.476 Å; angles 80.46, 80.46, 60.00 degrees
Fractional positions:
Be 0.080 0.080 0.760
Be 0.253 0.253 0.240
Cu 0.500 0.500 0.499
Ni 0.666 0.666 0.001

Energy ... -4.4487 eV per atom
Space group ... R3m, No. 160
Calculated formation energy ... -116 meV per atom